VASP calculation (PBE) on a geometry-optimized CrCdRh2 structure.

```
CrCdRh2
1.0
-2.142 -2.950 -5.936
6.622 -0.663 -2.059
2.361 -4.279 -2.813
Rh Cd Cr
4 2 2
direct
0.375 0.435 0.750 Rh
0.565 0.125 0.250 Rh
0.185 0.625 0.250 Rh
0.875 0.815 0.750 Rh
0.750 0.250 0.500 Cd
0.000 0.000 0.000 Cd
0.500 0.500 0.000 Cr
0.250 0.750 0.500 Cr
```

Output
* total moment: 0.00 μB/cell
* space-group type: I-42d
* Fermi-level density of states: 6.9 states/eV/cell
* ΔH_f (0 K): 348 meV per atom